[1]
Entry from the Alexandria database: a relaxed structure of Nd2SmCl8 (PBE). Values from VASP.

```
&SYSTEM
  ibrav = 0, nat = 11, ntyp = 3
/
ATOMIC_SPECIES
Nd 144.24 Nd.upf
Sm 150.36 Sm.upf
Cl 35.45 Cl.upf
CELL_PARAMETERS angstrom
4.2385 -6.2410 0.0000
4.2385 6.2410 0.0000
-1.6828 0.0000 5.2360
ATOMIC_POSITIONS crystal
Nd 0.1850 0.8150 0.0000
Nd 0.8150 0.1850 0.0000
Sm 0.5000 0.5000 0.5000
Cl 0.1405 0.1405 0.3249
Cl 0.1769 0.4317 0.9203
Cl 0.2728 0.7272 0.5000
Cl 0.4317 0.1769 0.9203
Cl 0.5683 0.8231 0.0797
Cl 0.7272 0.2728 0.5000
Cl 0.8231 0.5683 0.0797
Cl 0.8595 0.8595 0.6751
```

Values from the calculation:
- uncorrected energy (Ha/atom) = -0.1719
- ΔE_f (raw) (eV per atom) = -2.038

[2]
Entry from the Alexandria database: a relaxed structure of Dy6TlTe5 (PBE). Values from VASP.

```
&SYSTEM
  ibrav = 0, nat = 12, ntyp = 3
/
ATOMIC_SPECIES
Dy 162.50 Dy.upf
Tl 204.38 Tl.upf
Te 127.60 Te.upf
CELL_PARAMETERS angstrom
3.7931 -6.5468 0.0000
3.7931 6.5468 0.0000
-2.5026 0.0000 7.1396
ATOMIC_POSITIONS crystal
Dy 0.0800 0.4046 0.7429
Dy 0.2403 0.2403 0.2528
Dy 0.4046 0.0800 0.7429
Dy 0.5954 0.9200 0.2571
Dy 0.7597 0.7597 0.7472
Dy 0.9200 0.5954 0.2571
Tl 0.0000 0.0000 0.5000
Te 0.1712 0.8288 0.0000
Te 0.3346 0.6654 0.5000
Te 0.5000 0.5000 0.0000
Te 0.6654 0.3346 0.5000
Te 0.8288 0.1712 0.0000
```

Values from the calculation:
- uncorrected energy (Ha/atom) = -0.1824
- ΔE_f (raw) (eV per atom) = -1.156

[3]
Entry from the Alexandria database: a relaxed structure of Rb2NaNp2Se6 (PBE). Values from VASP.

```
&SYSTEM
  ibrav = 0, nat = 11, ntyp = 4
/
ATOMIC_SPECIES
Rb 85.47 Rb.upf
Na 22.99 Na.upf
Np 237.00 Np.upf
Se 78.96 Se.upf
CELL_PARAMETERS angstrom
3.6218 -6.3623 0.0000
3.6218 6.3623 0.0000
-2.2056 0.0000 8.1017
ATOMIC_POSITIONS crystal
Rb 0.1573 0.8427 0.0000
Rb 0.8427 0.1573 0.0000
Na 0.0000 0.0000 0.5000
Np 0.3346 0.6654 0.5000
Np 0.6654 0.3346 0.5000
Se 0.0552 0.4198 0.6898
Se 0.3064 0.3064 0.3074
Se 0.4198 0.0552 0.6898
Se 0.5802 0.9448 0.3102
Se 0.6936 0.6936 0.6926
Se 0.9448 0.5802 0.3102
```

Values from the calculation:
- uncorrected energy (Ha/atom) = -0.2098
- ΔE_f (raw) (eV per atom) = -1.158

[4]
Entry from the Alexandria database: a relaxed structure of ScAgC (PBE). Values from VASP.

```
&SYSTEM
  ibrav = 0, nat = 3, ntyp = 3
/
ATOMIC_SPECIES
Sc 44.96 Sc.upf
Ag 107.87 Ag.upf
C 12.01 C.upf
CELL_PARAMETERS angstrom
3.2615 0.0000 0.0000
0.0000 3.2615 0.0000
0.0000 0.0000 4.3575
ATOMIC_POSITIONS crystal
Sc 0.0000 0.0000 0.0000
Ag 0.5000 0.5000 0.5000
C 0.5000 0.5000 0.0000
```

Values from the calculation:
- uncorrected energy (Ha/atom) = -0.2234
- energy relative to the elements (meV per atom) = 55

[5]
Entry from the Alexandria database: a relaxed structure of BIrAu (PBE). Values from VASP.

```
&SYSTEM
  ibrav = 0, nat = 3, ntyp = 3
/
ATOMIC_SPECIES
B 10.81 B.upf
Ir 192.22 Ir.upf
Au 196.97 Au.upf
CELL_PARAMETERS angstrom
3.4964 0.0000 0.0000
-1.7482 3.0279 0.0000
0.0000 0.0000 4.0524
ATOMIC_POSITIONS crystal
B 0.0000 0.0000 0.0000
Ir 0.3333 0.6667 0.0745
Au 0.6667 0.3333 0.5694
```

Values from the calculation:
- uncorrected energy (Ha/atom) = -0.2253
- energy relative to the elements (meV per atom) = 141

[6]
Entry from the Alexandria database: a relaxed structure of La2ZnF (PBE). Values from VASP.

```
&SYSTEM
  ibrav = 0, nat = 4, ntyp = 3
/
ATOMIC_SPECIES
La 138.91 La.upf
Zn 65.41 Zn.upf
F 19.00 F.upf
CELL_PARAMETERS angstrom
2.0320 1.1732 6.8478
-2.0320 1.1732 6.8478
0.0000 -2.3464 6.8478
ATOMIC_POSITIONS crystal
La 0.2364 0.2364 0.2364
La 0.7636 0.7636 0.7636
Zn 0.0000 0.0000 0.0000
F 0.5000 0.5000 0.5000
```

Values from the calculation:
- uncorrected energy (Ha/atom) = -0.1674
- ΔE_f (raw) (eV per atom) = -1.306
- energy relative to the lowest polymorph listed for this composition (meV per atom) = 0.0

[7]
Entry from the Alexandria database: a relaxed structure of AcMg2Sn2Hg2 (PBE). Values from VASP.

```
&SYSTEM
  ibrav = 0, nat = 7, ntyp = 4
/
ATOMIC_SPECIES
Ac 227.00 Ac.upf
Mg 24.30 Mg.upf
Sn 118.71 Sn.upf
Hg 200.59 Hg.upf
CELL_PARAMETERS angstrom
2.5162 1.4527 8.5047
-2.5162 1.4527 8.5047
0.0000 -2.9055 8.5047
ATOMIC_POSITIONS crystal
Ac 0.0000 0.0000 0.0000
Mg 0.1389 0.1389 0.1389
Mg 0.8611 0.8611 0.8611
Sn 0.2570 0.2570 0.2570
Sn 0.7430 0.7430 0.7430
Hg 0.4402 0.4402 0.4402
Hg 0.5598 0.5598 0.5598
```

Values from the calculation:
- uncorrected energy (Ha/atom) = -0.0938
- energy relative to the elements (meV per atom) = -280

[8]
Entry from the Alexandria database: a relaxed structure of Li2Ge4Os3 (PBE). Values from VASP.

```
&SYSTEM
  ibrav = 0, nat = 9, ntyp = 3
/
ATOMIC_SPECIES
Li 6.94 Li.upf
Ge 72.64 Ge.upf
Os 190.23 Os.upf
CELL_PARAMETERS angstrom
0.0000 5.0014 5.9925
2.5313 0.0000 5.9925
2.5313 5.0014 0.0000
ATOMIC_POSITIONS crystal
Li 0.1061 0.1061 0.8939
Li 0.8939 0.8939 0.1061
Ge 0.1815 0.4789 0.5211
Ge 0.4789 0.1815 0.8185
Ge 0.5211 0.8185 0.1815
Ge 0.8185 0.5211 0.4789
Os 0.0000 0.0000 0.5000
Os 0.5000 0.5000 0.0000
Os 0.5000 0.5000 0.5000
```

Values from the calculation:
- uncorrected energy (Ha/atom) = -0.2229
- energy relative to the elements (meV per atom) = 155

[9]
Entry from the Alexandria database: a relaxed structure of Sr2TlP (PBE). Values from VASP.

```
&SYSTEM
  ibrav = 0, nat = 4, ntyp = 3
/
ATOMIC_SPECIES
Sr 87.62 Sr.upf
Tl 204.38 Tl.upf
P 30.97 P.upf
CELL_PARAMETERS angstrom
-2.0087 2.2825 7.4685
2.0087 -2.2825 7.4685
2.0087 2.2825 -7.4685
ATOMIC_POSITIONS crystal
Sr 0.0000 0.0000 0.0000
Sr 0.6997 0.1997 0.5000
Tl 0.3787 0.3787 0.0000
P 0.1520 0.6520 0.5000
```

Values from the calculation:
- uncorrected energy (Ha/atom) = -0.1214
- energy relative to the lowest polymorph listed for this composition (meV per atom) = 134.6
- energy relative to the elements (meV per atom) = -519

[10]
Entry from the Alexandria database: a relaxed structure of TiAgAsSe2 (PBE). Values from VASP.

```
&SYSTEM
  ibrav = 0, nat = 5, ntyp = 4
/
ATOMIC_SPECIES
Ti 47.87 Ti.upf
Ag 107.87 Ag.upf
As 74.92 As.upf
Se 78.96 Se.upf
CELL_PARAMETERS angstrom
5.0046 0.0000 0.0000
0.0000 5.0046 0.0000
0.0000 0.0000 4.9112
ATOMIC_POSITIONS crystal
Ti 0.0000 0.0000 0.0000
Ag 0.5000 0.5000 0.5000
As 0.5000 0.5000 0.0000
Se 0.0000 0.5000 0.5000
Se 0.5000 0.0000 0.5000
```

Values from the calculation:
- uncorrected energy (Ha/atom) = -0.1369
- ΔE_f (raw) (eV per atom) = 0.749
- energy relative to the lowest polymorph listed for this composition (meV per atom) = 783.7

[11]
Entry from the Alexandria database: a relaxed structure of Pm2PrHo6 (PBE). Values from VASP.

```
&SYSTEM
  ibrav = 0, nat = 9, ntyp = 3
/
ATOMIC_SPECIES
Pm 145.00 Pm.upf
Pr 140.91 Pr.upf
Ho 164.93 Ho.upf
CELL_PARAMETERS angstrom
8.3344 -5.1545 0.0000
8.3344 5.1545 0.0000
-0.7275 0.0000 3.4141
ATOMIC_POSITIONS crystal
Pm 0.1576 0.1576 0.1557
Pm 0.8424 0.8424 0.8443
Pr 0.5000 0.5000 0.0000
Ho 0.1547 0.4893 0.8205
Ho 0.1843 0.8157 0.5000
Ho 0.4893 0.1547 0.8205
Ho 0.5107 0.8453 0.1795
Ho 0.8157 0.1843 0.5000
Ho 0.8453 0.5107 0.1795
```

Values from the calculation:
- uncorrected energy (Ha/atom) = -0.1666
- energy relative to the lowest polymorph listed for this composition (meV per atom) = 0.0
- energy relative to the elements (meV per atom) = 105

[12]
Entry from the Alexandria database: a relaxed structure of YMn2Tl (PBE). Values from VASP.

```
&SYSTEM
  ibrav = 0, nat = 4, ntyp = 3
/
ATOMIC_SPECIES
Y 88.91 Y.upf
Mn 54.94 Mn.upf
Tl 204.38 Tl.upf
CELL_PARAMETERS angstrom
1.6644 0.9609 9.4192
-1.6644 0.9609 9.4192
0.0000 -1.9218 9.4192
ATOMIC_POSITIONS crystal
Y 0.0000 0.0000 0.0000
Mn 0.2485 0.2485 0.2485
Mn 0.7515 0.7515 0.7515
Tl 0.5000 0.5000 0.5000
```

Values from the calculation:
- uncorrected energy (Ha/atom) = -0.2306
- energy relative to the lowest polymorph listed for this composition (meV per atom) = 285.6
- energy relative to the elements (meV per atom) = 517

[13]
Entry from the Alexandria database: a relaxed structure of Na2LiClO (PBE). Values from VASP.

```
&SYSTEM
  ibrav = 0, nat = 5, ntyp = 4
/
ATOMIC_SPECIES
Na 22.99 Na.upf
Li 6.94 Li.upf
Cl 35.45 Cl.upf
O 16.00 O.upf
CELL_PARAMETERS angstrom
4.6568 0.0000 0.0000
0.0000 4.6568 0.0000
0.0000 0.0000 3.7511
ATOMIC_POSITIONS crystal
Na 0.0000 0.5000 0.0000
Na 0.5000 0.0000 0.0000
Li 0.0000 0.0000 0.5000
Cl 0.5000 0.5000 0.5000
O 0.0000 0.0000 0.0000
```

Values from the calculation:
- uncorrected energy (Ha/atom) = -0.1417
- ΔE_f (raw) (eV per atom) = -1.583

[14]
Entry from the Alexandria database: a relaxed structure of AsPbSe2 (PBE). Values from VASP.

```
&SYSTEM
  ibrav = 0, nat = 4, ntyp = 3
/
ATOMIC_SPECIES
As 74.92 As.upf
Pb 207.20 Pb.upf
Se 78.96 Se.upf
CELL_PARAMETERS angstrom
3.7866 0.0000 0.0000
0.0000 3.7903 0.0000
0.0000 0.0000 7.3122
ATOMIC_POSITIONS crystal
As 0.0000 0.0000 0.0000
Pb 0.0000 0.5000 0.5000
Se 0.5000 0.0000 0.2567
Se 0.5000 0.0000 0.7433
```

Values from the calculation:
- uncorrected energy (Ha/atom) = -0.1450
- ΔE_f (raw) (eV per atom) = -0.114
- energy relative to the lowest polymorph listed for this composition (meV per atom) = 79.2

[15]
Entry from the Alexandria database: a relaxed structure of LaMnNb3 (PBE). Values from VASP.

```
&SYSTEM
  ibrav = 0, nat = 5, ntyp = 3
/
ATOMIC_SPECIES
La 138.91 La.upf
Mn 54.94 Mn.upf
Nb 92.91 Nb.upf
CELL_PARAMETERS angstrom
4.8872 0.0000 0.0000
0.0000 4.8872 0.0000
0.0000 0.0000 4.8872
ATOMIC_POSITIONS crystal
La 0.0000 0.0000 0.0000
Mn 0.5000 0.5000 0.5000
Nb 0.0000 0.0000 0.5000
Nb 0.0000 0.5000 0.0000
Nb 0.5000 0.0000 0.0000
```

Values from the calculation:
- uncorrected energy (Ha/atom) = -0.2568
- energy relative to the lowest polymorph listed for this composition (meV per atom) = 1359.0
- energy relative to the elements (meV per atom) = 1872

[16]
Entry from the Alexandria database: a relaxed structure of LaGa4CuAg2 (PBE). Values from VASP.

```
&SYSTEM
  ibrav = 0, nat = 8, ntyp = 4
/
ATOMIC_SPECIES
La 138.91 La.upf
Ga 69.72 Ga.upf
Cu 63.55 Cu.upf
Ag 107.87 Ag.upf
CELL_PARAMETERS angstrom
2.2388 1.2926 8.9019
-2.2388 1.2926 8.9019
0.0000 -2.5852 8.9019
ATOMIC_POSITIONS crystal
La 0.0000 0.0000 0.0000
Ga 0.1304 0.1304 0.1304
Ga 0.4013 0.4013 0.4013
Ga 0.5987 0.5987 0.5987
Ga 0.8696 0.8696 0.8696
Cu 0.5000 0.5000 0.5000
Ag 0.2395 0.2395 0.2395
Ag 0.7605 0.7605 0.7605
```

Values from the calculation:
- uncorrected energy (Ha/atom) = -0.1315
- energy relative to the elements (meV per atom) = -223

[17]
Entry from the Alexandria database: a relaxed structure of PmY4Zn (PBE). Values from VASP.

```
&SYSTEM
  ibrav = 0, nat = 12, ntyp = 3
/
ATOMIC_SPECIES
Pm 145.00 Pm.upf
Y 88.91 Y.upf
Zn 65.41 Zn.upf
CELL_PARAMETERS angstrom
2.6732 -7.6996 0.0000
2.6732 7.6996 0.0000
0.0000 0.0000 8.9953
ATOMIC_POSITIONS crystal
Pm 0.1316 0.8684 0.5000
Pm 0.8684 0.1316 0.0000
Y 0.0965 0.9035 0.1172
Y 0.2675 0.7325 0.8306
Y 0.3339 0.6661 0.1903
Y 0.4839 0.5161 0.8772
Y 0.5161 0.4839 0.3772
Y 0.6661 0.3339 0.6903
Y 0.7325 0.2675 0.3306
Y 0.9035 0.0965 0.6172
Zn 0.3276 0.6724 0.5208
Zn 0.6724 0.3276 0.0208
```

Values from the calculation:
- uncorrected energy (Ha/atom) = -0.1911
- energy relative to the lowest polymorph listed for this composition (meV per atom) = 219.2
- energy relative to the elements (meV per atom) = 114

[18]
Entry from the Alexandria database: a relaxed structure of RbMgTi2Pt (PBE). Values from VASP.

```
&SYSTEM
  ibrav = 0, nat = 5, ntyp = 4
/
ATOMIC_SPECIES
Rb 85.47 Rb.upf
Mg 24.30 Mg.upf
Ti 47.87 Ti.upf
Pt 195.08 Pt.upf
CELL_PARAMETERS angstrom
5.1020 0.0000 0.0000
0.0000 5.1020 0.0000
0.0000 0.0000 5.5917
ATOMIC_POSITIONS crystal
Rb 0.0000 0.0000 0.0000
Mg 0.0000 0.0000 0.5000
Ti 0.0000 0.5000 0.5000
Ti 0.5000 0.0000 0.5000
Pt 0.5000 0.5000 0.0000
```

Values from the calculation:
- uncorrected energy (Ha/atom) = -0.1210
- energy relative to the elements (meV per atom) = 1586

[19]
Entry from the Alexandria database: a relaxed structure of CaPtAu2 (PBE). Values from VASP.

```
&SYSTEM
  ibrav = 0, nat = 4, ntyp = 3
/
ATOMIC_SPECIES
Ca 40.08 Ca.upf
Pt 195.08 Pt.upf
Au 196.97 Au.upf
CELL_PARAMETERS angstrom
3.3088 0.0000 0.0000
0.0000 4.7317 0.0000
-0.0099 0.0000 5.4022
ATOMIC_POSITIONS crystal
Ca 0.0000 0.0000 0.0000
Pt 0.5000 0.0000 0.5000
Au 0.5004 0.5000 0.2478
Au 0.4996 0.5000 0.7522
```

Values from the calculation:
- uncorrected energy (Ha/atom) = -0.1501
- energy relative to the lowest polymorph listed for this composition (meV per atom) = 135.4
- energy relative to the elements (meV per atom) = -435

[20]
Entry from the Alexandria database: a relaxed structure of ZnReMo2 (PBE). Values from VASP.

```
&SYSTEM
  ibrav = 0, nat = 4, ntyp = 3
/
ATOMIC_SPECIES
Zn 65.41 Zn.upf
Re 186.21 Re.upf
Mo 95.94 Mo.upf
CELL_PARAMETERS angstrom
1.3960 0.8060 9.1539
-1.3960 0.8060 9.1539
0.0000 -1.6119 9.1539
ATOMIC_POSITIONS crystal
Zn 0.0000 0.0000 0.0000
Re 0.2513 0.2513 0.2513
Mo 0.5042 0.5042 0.5042
Mo 0.7511 0.7511 0.7511
```

Values from the calculation:
- uncorrected energy (Ha/atom) = -0.3159
- energy relative to the elements (meV per atom) = 251